No. 1
Material: Pr3MgZn
Method: DFT, PBE
State: optimized geometry

Output
As for the formation energy: -0.134 eV per atom.

Cell and atoms, written as CIF:
```
data_Pr3MgZn
_chemical_formula_sum 'Pr12 Mg4 Zn4'
_cell_length_a 5.404
_cell_length_b 20.274
_cell_length_c 5.391
_cell_angle_alpha 90.00
_cell_angle_beta 90.00
_cell_angle_gamma 90.00
_symmetry_space_group_name_H-M 'C m c m'
_symmetry_Int_Tables_number 63
_symmetry_space_group_name_Hall '-C 2c 2'
loop_
_atom_site_label
_atom_site_fract_x
_atom_site_fract_y
_atom_site_fract_z
Pr1 0.000 0.064 0.250
Pr2 0.000 0.250 0.250
Pr3 0.000 0.434 0.250
Mg1 0.000 0.157 0.750
Zn1 0.000 0.342 0.750
```

No. 2
Material: Pr4MgZn5
Method: DFT, PBE
State: optimized geometry

Output
As for the formation energy: -0.254 eV per atom.

Cell and atoms, written as CIF:
```
data_Pr4MgZn5
_chemical_formula_sum 'Pr4 Mg1 Zn5'
_cell_length_a 3.663
_cell_length_b 3.663
_cell_length_c 18.062
_cell_angle_alpha 90.00
_cell_angle_beta 90.00
_cell_angle_gamma 90.00
_symmetry_space_group_name_H-M 'P 4/m m m'
_symmetry_Int_Tables_number 123
_symmetry_space_group_name_Hall '-P 4 2'
loop_
_atom_site_label
_atom_site_fract_x
_atom_site_fract_y
_atom_site_fract_z
Pr1 0.000 0.000 0.105
Pr2 0.000 0.000 0.310
Mg1 0.000 0.000 0.500
Zn1 0.500 0.500 0.000
Zn2 0.500 0.500 0.207
Zn3 0.500 0.500 0.419
```

No. 3
Material: Pr6MgZn
Method: DFT, PBE
State: optimized geometry

Output
The energy relative to the lowest polymorph listed for this composition is 0.62 eV per formula unit. As for the formation energy: -0.003 eV per atom.

Cell and atoms, written as CIF:
```
data_Pr6MgZn
_chemical_formula_sum 'Pr6 Mg1 Zn1'
_cell_length_a 6.374
_cell_length_b 6.378
_cell_length_c 6.393
_cell_angle_alpha 94.69
_cell_angle_beta 94.55
_cell_angle_gamma 94.78
_symmetry_space_group_name_H-M 'P -1'
_symmetry_Int_Tables_number 2
loop_
_symmetry_equiv_pos_as_xyz
'x,y,z'
'-x,-y,-z'
loop_
_atom_site_label
_atom_site_fract_x
_atom_site_fract_y
_atom_site_fract_z
Pr1 0.038 0.065 0.260
Pr2 0.239 0.462 0.934
Pr3 0.436 0.740 0.459
Mg1 0.500 0.000 0.000
Zn1 0.000 0.500 0.500
```

No. 4
Material: PrMg11Zn
Method: DFT, PBE
State: optimized geometry

Output
As for the formation energy: -0.074 eV per atom.

Cell and atoms, written as CIF:
```
data_PrMg11Zn
_chemical_formula_sum 'Pr2 Mg22 Zn2'
_cell_length_a 5.894
_cell_length_b 14.340
_cell_length_c 7.681
_cell_angle_alpha 90.00
_cell_angle_beta 111.58
_cell_angle_gamma 90.00
_symmetry_space_group_name_H-M 'C 1 2/m 1'
_symmetry_Int_Tables_number 12
loop_
_symmetry_equiv_pos_as_xyz
'x,y,z'
'-x,-y,-z'
'-x,y,-z'
'x,-y,z'
'x+1/2,y+1/2,z'
'-x+1/2,-y+1/2,-z'
'-x+1/2,y+1/2,-z'
'x+1/2,-y+1/2,z'
loop_
_atom_site_label
_atom_site_fract_x
_atom_site_fract_y
_atom_site_fract_z
Pr1 0.000 0.000 0.000
Mg1 0.000 0.000 0.500
Mg2 0.101 0.395 0.219
Mg3 0.180 0.173 0.355
Mg4 0.250 0.250 0.000
Zn1 0.000 0.500 0.500
```

No. 5
Material: Pr4Mg3Zn
Method: DFT, PBE
State: optimized geometry

Output
As for the formation energy: -0.158 eV per atom.

Cell and atoms, written as CIF:
```
data_Pr4Mg3Zn
_chemical_formula_sum 'Pr4 Mg3 Zn1'
_cell_length_a 3.835
_cell_length_b 3.835
_cell_length_c 15.691
_cell_angle_alpha 90.00
_cell_angle_beta 90.00
_cell_angle_gamma 90.00
_symmetry_space_group_name_H-M 'P 4/m m m'
_symmetry_Int_Tables_number 123
_symmetry_space_group_name_Hall '-P 4 2'
loop_
_atom_site_label
_atom_site_fract_x
_atom_site_fract_y
_atom_site_fract_z
Pr1 0.000 0.000 0.111
Pr2 0.000 0.000 0.372
Mg1 0.500 0.500 0.244
Mg2 0.500 0.500 0.500
Zn1 0.500 0.500 0.000
```

No. 6
Material: PrMgZrZn
Method: DFT, PBE
State: optimized geometry

Output
As for the formation energy: -0.028 eV per atom.

Cell and atoms, written as CIF:
```
data_PrMgZrZn
_chemical_formula_sum 'Pr4 Mg4 Zr4 Zn4'
_cell_length_a 7.214
_cell_length_b 7.214
_cell_length_c 7.214
_cell_angle_alpha 90.00
_cell_angle_beta 90.00
_cell_angle_gamma 90.00
_symmetry_space_group_name_H-M 'F -4 3 m'
_symmetry_Int_Tables_number 216
_symmetry_space_group_name_Hall 'F -4 2 3'
loop_
_atom_site_label
_atom_site_fract_x
_atom_site_fract_y
_atom_site_fract_z
Pr1 0.000 0.000 0.000
Mg1 0.250 0.250 0.750
Zr1 0.000 0.000 0.500
Zn1 0.250 0.250 0.250
```